Here is an optimized crystal structure of NiSn3Au from Alexandria via LeMat-Bulk. Energies are from PBE-GGA.

Calculated values
Energy of formation from the pure elements ... -0.0299 eV per atom
Polymorph energy (0 for the lowest one) ... 0.0945 eV per atom
Total moment ... 0.0000 μB/atom
Final energy ... -4.2433 eV/atom

a b c (Å): 6.443 6.443 6.670
angles (deg): 115.33 115.33 83.49
Sites, in units of the cell vectors:
1 Ni 0.224 0.224 0.371
2 Ni 0.776 0.776 0.629
3 Sn 0.096 0.096 0.857
4 Sn 0.108 0.511 0.758
5 Sn 0.489 0.892 0.242
6 Sn 0.511 0.108 0.758
7 Sn 0.892 0.489 0.242
8 Sn 0.904 0.904 0.143
9 Au 0.449 0.449 0.254
10 Au 0.551 0.551 0.746

Here is an optimized crystal structure of Ni2Sn2Au from Alexandria via LeMat-Bulk. Energies are from PBE-GGA.

Calculated values
Energy of formation from the pure elements ... 0.0171 eV per atom
Polymorph energy (0 for the lowest one) ... 0.1393 eV per atom
Total moment ... 0.0000 μB/atom
Final energy ... -4.5521 eV/atom

a b c (Å): 7.568 7.568 3.033
angles (deg): 90.00 90.00 90.00
Sites, in units of the cell vectors:
1 Ni 0.126 0.374 0.000
2 Ni 0.374 0.874 0.000
3 Ni 0.626 0.126 0.000
4 Ni 0.874 0.626 0.000
5 Sn 0.166 0.666 0.500
6 Sn 0.334 0.166 0.500
7 Sn 0.666 0.834 0.500
8 Sn 0.834 0.334 0.500
9 Au 0.000 0.000 0.500
10 Au 0.500 0.500 0.500

Here is an optimized crystal structure of TaNiSnAu2 from Alexandria via LeMat-Bulk. Energies are from PBE-GGA.

Calculated values
Energy of formation from the pure elements ... 0.8833 eV per atom
Total moment ... 0.0000 μB/atom
Final energy ... -4.7550 eV/atom

a b c (Å): 5.162 5.162 4.613
angles (deg): 90.00 90.00 90.00
Sites, in units of the cell vectors:
1 Ta 0.000 0.000 0.000
2 Ni 0.000 0.000 0.500
3 Sn 0.500 0.500 0.500
4 Au 0.000 0.500 0.000
5 Au 0.500 0.000 0.000

Number 1: V 225.4 Å³/cell. Number 2: V 173.7 Å³/cell. Number 3: V 122.9 Å³/cell.